# CaAl3Ag, optimized geometry, DFT PBE
data_CaAl3Ag
_space_group_name_H-M_alt 'P 1'
_space_group_IT_number 1
_cell_length_a 6.6373
_cell_length_b 6.6373
_cell_length_c 5.8747
_cell_angle_alpha 90.00
_cell_angle_beta 90.00
_cell_angle_gamma 126.74
loop_
_space_group_symop_operation_xyz
'x,y,z'
loop_
_atom_site_label
_atom_site_type_symbol
_atom_site_fract_x
_atom_site_fract_y
_atom_site_fract_z
Ca1 Ca 0.2498 0.7502 0.7500
Ca2 Ca 0.7502 0.2498 0.2500
Al1 Al 0.1415 0.8585 0.2500
Al2 Al 0.2503 0.2503 0.0000
Al3 Al 0.2503 0.2503 0.5000
Al4 Al 0.7497 0.7497 0.0000
Al5 Al 0.7497 0.7497 0.5000
Al6 Al 0.8585 0.1415 0.7500
Ag1 Ag 0.3593 0.6407 0.2500
Ag2 Ag 0.6407 0.3593 0.7500
# magnetization	0.00	μB/atom
# space group	Cmcm
# E_form	-0.2765	eV per atom

---

# Ca2Al5Ag4, optimized geometry, DFT PBE
data_Ca2Al5Ag4
_space_group_name_H-M_alt 'P 1'
_space_group_IT_number 1
_cell_length_a 9.9173
_cell_length_b 9.1336
_cell_length_c 5.4889
_cell_angle_alpha 81.28
_cell_angle_beta 65.55
_cell_angle_gamma 33.17
loop_
_space_group_symop_operation_xyz
'x,y,z'
loop_
_atom_site_label
_atom_site_type_symbol
_atom_site_fract_x
_atom_site_fract_y
_atom_site_fract_z
Ca1 Ca 0.1192 0.1192 0.8808
Ca2 Ca 0.8808 0.8808 0.1192
Al1 Al 0.0000 0.0000 0.5000
Al2 Al 0.2500 0.2500 0.2500
Al3 Al 0.5000 0.5000 0.0000
Al4 Al 0.5000 0.5000 0.5000
Al5 Al 0.7500 0.7500 0.7500
Ag1 Ag 0.2072 0.5327 0.4673
Ag2 Ag 0.4673 0.7928 0.2072
Ag3 Ag 0.5327 0.2072 0.7928
Ag4 Ag 0.7928 0.4673 0.5327
# magnetization	0.00	μB/atom
# ΔE to the lowest computed polymorph	0	meV per atom
# space group	Fmmm
# E_form	-0.2267	eV per atom

---

# CaAlAg, optimized geometry, DFT PBE
data_CaAlAg
_space_group_name_H-M_alt 'P 1'
_space_group_IT_number 1
_cell_length_a 4.3963
_cell_length_b 4.3963
_cell_length_c 9.5100
_cell_angle_alpha 90.05
_cell_angle_beta 90.05
_cell_angle_gamma 60.00
loop_
_space_group_symop_operation_xyz
'x,y,z'
loop_
_atom_site_label
_atom_site_type_symbol
_atom_site_fract_x
_atom_site_fract_y
_atom_site_fract_z
Ca1 Ca 0.1661 0.1661 0.1747
Ca2 Ca 0.8339 0.8339 0.8253
Al1 Al 0.1667 0.1667 0.5676
Al2 Al 0.8333 0.8333 0.4324
Ag1 Ag 0.4999 0.4999 0.3519
Ag2 Ag 0.5001 0.5001 0.6481
# magnetization	0.00	μB/atom
# space group	C2/m
# E_form	-0.1043	eV per atom

---

# Ca2Al12Ag7, optimized geometry, DFT PBE
data_Ca2Al12Ag7
_space_group_name_H-M_alt 'P 1'
_space_group_IT_number 1
_cell_length_a 10.4634
_cell_length_b 10.4634
_cell_length_c 4.1957
_cell_angle_alpha 90.00
_cell_angle_beta 90.00
_cell_angle_gamma 120.00
loop_
_space_group_symop_operation_xyz
'x,y,z'
loop_
_atom_site_label
_atom_site_type_symbol
_atom_site_fract_x
_atom_site_fract_y
_atom_site_fract_z
Ca1 Ca 0.0000 0.0000 0.0000
Ca2 Ca 0.3333 0.6667 0.5000
Al1 Al 0.0356 0.7458 0.5000
Al2 Al 0.1226 0.3795 0.0000
Al3 Al 0.2542 0.2899 0.5000
Al4 Al 0.2570 0.8774 0.0000
Al5 Al 0.3756 0.1921 0.0000
Al6 Al 0.5393 0.1242 0.5000
Al7 Al 0.5849 0.4607 0.5000
Al8 Al 0.6205 0.7430 0.0000
Al9 Al 0.7101 0.9644 0.5000
Al10 Al 0.8079 0.1836 0.0000
Al11 Al 0.8164 0.6244 0.0000
Al12 Al 0.8758 0.4151 0.5000
Ag1 Ag 0.0562 0.5913 0.0000
Ag2 Ag 0.2411 0.0259 0.5000
Ag3 Ag 0.4087 0.4649 0.0000
Ag4 Ag 0.5351 0.9438 0.0000
Ag5 Ag 0.6667 0.3333 0.0000
Ag6 Ag 0.7848 0.7589 0.5000
Ag7 Ag 0.9741 0.2152 0.5000
# magnetization	0.00	μB/atom
# space group	P-6
# E_form	-0.1297	eV per atom

---

# Ca2AlAg7, optimized geometry, DFT PBE
data_Ca2AlAg7
_space_group_name_H-M_alt 'P 1'
_space_group_IT_number 1
_cell_length_a 7.0945
_cell_length_b 7.0945
_cell_length_c 7.0945
_cell_angle_alpha 60.00
_cell_angle_beta 60.00
_cell_angle_gamma 60.00
loop_
_space_group_symop_operation_xyz
'x,y,z'
loop_
_atom_site_label
_atom_site_type_symbol
_atom_site_fract_x
_atom_site_fract_y
_atom_site_fract_z
Ca1 Ca 0.2500 0.2500 0.2500
Ca2 Ca 0.7500 0.7500 0.7500
Al1 Al 0.0000 0.0000 0.0000
Ag1 Ag 0.2420 0.2420 0.7580
Ag2 Ag 0.2420 0.7580 0.2420
Ag3 Ag 0.2420 0.7580 0.7580
Ag4 Ag 0.5000 0.5000 0.5000
Ag5 Ag 0.7580 0.2420 0.2420
Ag6 Ag 0.7580 0.2420 0.7580
Ag7 Ag 0.7580 0.7580 0.2420
# magnetization	0.00	μB/atom
# space group	Fm-3m
# E_form	0.1064	eV per atom

---

# Ca3Al2Ag9, optimized geometry, DFT PBE
data_Ca3Al2Ag9
_space_group_name_H-M_alt 'P 1'
_space_group_IT_number 1
_cell_length_a 8.6042
_cell_length_b 8.6042
_cell_length_c 8.6042
_cell_angle_alpha 149.63
_cell_angle_beta 106.45
_cell_angle_gamma 81.61
loop_
_space_group_symop_operation_xyz
'x,y,z'
loop_
_atom_site_label
_atom_site_type_symbol
_atom_site_fract_x
_atom_site_fract_y
_atom_site_fract_z
Ca1 Ca 0.0000 0.0000 0.0000
Ca2 Ca 0.3047 0.3047 0.0000
Ca3 Ca 0.6953 0.6953 0.0000
Al1 Al 0.2926 0.5000 0.7926
Al2 Al 0.7074 0.5000 0.2074
Ag1 Ag 0.0317 0.6656 0.3660
Ag2 Ag 0.1592 0.8772 0.2820
Ag3 Ag 0.2996 0.6656 0.6340
Ag4 Ag 0.4048 0.1228 0.2820
Ag5 Ag 0.5000 0.0000 0.5000
Ag6 Ag 0.5952 0.8772 0.7180
Ag7 Ag 0.7004 0.3344 0.3660
Ag8 Ag 0.8408 0.1228 0.7180
Ag9 Ag 0.9683 0.3344 0.6340
# magnetization	0.00	μB/atom
# space group	Immm
# E_form	-0.2009	eV per atom

---

# CaAl12Ag6, optimized geometry, DFT PBE
data_CaAl12Ag6
_space_group_name_H-M_alt 'P 1'
_space_group_IT_number 1
_cell_length_a 7.4157
_cell_length_b 7.4157
_cell_length_c 7.4157
_cell_angle_alpha 104.21
_cell_angle_beta 104.21
_cell_angle_gamma 104.21
loop_
_space_group_symop_operation_xyz
'x,y,z'
loop_
_atom_site_label
_atom_site_type_symbol
_atom_site_fract_x
_atom_site_fract_y
_atom_site_fract_z
Ca1 Ca 0.0000 0.0000 0.0000
Al1 Al 0.1106 0.5000 0.8894
Al2 Al 0.1106 0.8894 0.5000
Al3 Al 0.1400 0.3852 0.3852
Al4 Al 0.3852 0.1400 0.3852
Al5 Al 0.3852 0.3852 0.1400
Al6 Al 0.5000 0.1106 0.8894
Al7 Al 0.5000 0.8894 0.1106
Al8 Al 0.6148 0.6148 0.8600
Al9 Al 0.6148 0.8600 0.6148
Al10 Al 0.8600 0.6148 0.6148
Al11 Al 0.8894 0.1106 0.5000
Al12 Al 0.8894 0.5000 0.1106
Ag1 Ag 0.2844 0.7138 0.7138
Ag2 Ag 0.2862 0.2862 0.7156
Ag3 Ag 0.2862 0.7156 0.2862
Ag4 Ag 0.7138 0.2844 0.7138
Ag5 Ag 0.7138 0.7138 0.2844
Ag6 Ag 0.7156 0.2862 0.2862
# magnetization	0.00	μB/atom
# space group	R-3m
# E_form	0.0097	eV per atom

---

# CaAl7Ag5, optimized geometry, DFT PBE
data_CaAl7Ag5
_space_group_name_H-M_alt 'P 1'
_space_group_IT_number 1
_cell_length_a 7.1031
_cell_length_b 7.1031
_cell_length_c 7.1031
_cell_angle_alpha 134.42
_cell_angle_beta 97.13
_cell_angle_gamma 100.14
loop_
_space_group_symop_operation_xyz
'x,y,z'
loop_
_atom_site_label
_atom_site_type_symbol
_atom_site_fract_x
_atom_site_fract_y
_atom_site_fract_z
Ca1 Ca 0.0000 0.0000 0.0000
Al1 Al 0.2190 0.5047 0.7143
Al2 Al 0.3487 0.9940 0.3546
Al3 Al 0.3516 0.3516 0.0000
Al4 Al 0.6394 0.9940 0.6454
Al5 Al 0.6419 0.6419 0.0000
Al6 Al 0.7771 0.2771 0.5000
Al7 Al 0.7905 0.5047 0.2857
Ag1 Ag 0.2086 0.7086 0.5000
Ag2 Ag 0.5124 0.0043 0.0099
Ag3 Ag 0.5124 0.5025 0.5081
Ag4 Ag 0.9943 0.0043 0.4919
Ag5 Ag 0.9943 0.5025 0.9901
# magnetization	0.00	μB/atom
# space group	Imm2
# E_form	-0.1453	eV per atom

---

# Ca3AlAg8, optimized geometry, DFT PBE
data_Ca3AlAg8
_space_group_name_H-M_alt 'P 1'
_space_group_IT_number 1
_cell_length_a 9.8994
_cell_length_b 9.8994
_cell_length_c 9.8994
_cell_angle_alpha 33.20
_cell_angle_beta 33.20
_cell_angle_gamma 33.20
loop_
_space_group_symop_operation_xyz
'x,y,z'
loop_
_atom_site_label
_atom_site_type_symbol
_atom_site_fract_x
_atom_site_fract_y
_atom_site_fract_z
Ca1 Ca 0.0000 0.0000 0.0000
Ca2 Ca 0.1292 0.1292 0.1292
Ca3 Ca 0.6113 0.6113 0.6113
Al1 Al 0.4894 0.4894 0.4894
Ag1 Ag 0.0586 0.0586 0.5610
Ag2 Ag 0.0586 0.5610 0.0586
Ag3 Ag 0.0623 0.5609 0.5609
Ag4 Ag 0.3101 0.3101 0.3101
Ag5 Ag 0.5610 0.0586 0.0586
Ag6 Ag 0.5609 0.0623 0.5609
Ag7 Ag 0.5609 0.5609 0.0623
Ag8 Ag 0.8105 0.8105 0.8105
# magnetization	0.00	μB/atom
# space group	R3m
# E_form	-0.1879	eV per atom

---

# CaAl2Ag9, optimized geometry, DFT PBE
data_CaAl2Ag9
_space_group_name_H-M_alt 'P 1'
_space_group_IT_number 1
_cell_length_a 8.7879
_cell_length_b 8.7879
_cell_length_c 8.7879
_cell_angle_alpha 99.64
_cell_angle_beta 99.64
_cell_angle_gamma 131.69
loop_
_space_group_symop_operation_xyz
'x,y,z'
loop_
_atom_site_label
_atom_site_type_symbol
_atom_site_fract_x
_atom_site_fract_y
_atom_site_fract_z
Ca1 Ca 0.3750 0.6250 0.7500
Ca2 Ca 0.6250 0.3750 0.2500
Al1 Al 0.0000 0.0000 0.0000
Al2 Al 0.0000 0.0000 0.5000
Al3 Al 0.0000 0.5000 0.0000
Al4 Al 0.5000 0.0000 0.5000
Ag1 Ag 0.1250 0.8750 0.2500
Ag2 Ag 0.1322 0.5605 0.3282
Ag3 Ag 0.1322 0.8041 0.5717
Ag4 Ag 0.1959 0.2677 0.3282
Ag5 Ag 0.1959 0.8678 0.9283
Ag6 Ag 0.2677 0.1959 0.8282
Ag7 Ag 0.2677 0.4395 0.0717
Ag8 Ag 0.4395 0.2677 0.5717
Ag9 Ag 0.4395 0.8678 0.1718
Ag10 Ag 0.5605 0.1322 0.8282
Ag11 Ag 0.5605 0.7323 0.4283
Ag12 Ag 0.7323 0.5605 0.9283
Ag13 Ag 0.7323 0.8041 0.1718
Ag14 Ag 0.8041 0.1322 0.0717
Ag15 Ag 0.8041 0.7323 0.6718
Ag16 Ag 0.8678 0.1959 0.4283
Ag17 Ag 0.8678 0.4395 0.6718
Ag18 Ag 0.8750 0.1250 0.7500
# magnetization	0.00	μB/atom
# space group	I4_1/amd
# E_form	-0.1080	eV per atom

---

# CaAl6Ag, optimized geometry, DFT PBE
data_CaAl6Ag
_space_group_name_H-M_alt 'P 1'
_space_group_IT_number 1
_cell_length_a 4.3016
_cell_length_b 4.3016
_cell_length_c 8.7468
_cell_angle_alpha 90.00
_cell_angle_beta 90.00
_cell_angle_gamma 90.00
loop_
_space_group_symop_operation_xyz
'x,y,z'
loop_
_atom_site_label
_atom_site_type_symbol
_atom_site_fract_x
_atom_site_fract_y
_atom_site_fract_z
Ca1 Ca 0.0000 0.0000 0.0000
Al1 Al 0.0000 0.5000 0.3240
Al2 Al 0.0000 0.5000 0.6760
Al3 Al 0.5000 0.0000 0.3240
Al4 Al 0.5000 0.0000 0.6760
Al5 Al 0.5000 0.5000 0.1458
Al6 Al 0.5000 0.5000 0.8542
Ag1 Ag 0.0000 0.0000 0.5000
# magnetization	0.00	μB/atom
# space group	P4/mmm
# E_form	-0.1228	eV per atom

---

# Ca5AlAg2, optimized geometry, DFT PBE
data_Ca5AlAg2
_space_group_name_H-M_alt 'P 1'
_space_group_IT_number 1
_cell_length_a 9.3229
_cell_length_b 9.3229
_cell_length_c 9.3229
_cell_angle_alpha 128.79
_cell_angle_beta 128.79
_cell_angle_gamma 75.34
loop_
_space_group_symop_operation_xyz
'x,y,z'
loop_
_atom_site_label
_atom_site_type_symbol
_atom_site_fract_x
_atom_site_fract_y
_atom_site_fract_z
Ca1 Ca 0.0000 0.0000 0.0000
Ca2 Ca 0.0236 0.5236 0.8396
Ca3 Ca 0.1841 0.0236 0.5000
Ca4 Ca 0.3159 0.8159 0.8396
Ca5 Ca 0.4764 0.3159 0.5000
Ca6 Ca 0.5000 0.5000 0.0000
Ca7 Ca 0.5236 0.6841 0.5000
Ca8 Ca 0.6841 0.1841 0.1604
Ca9 Ca 0.8159 0.9764 0.5000
Ca10 Ca 0.9764 0.4764 0.1604
Al1 Al 0.2500 0.2500 0.0000
Al2 Al 0.7500 0.7500 0.0000
Ag1 Ag 0.1251 0.3749 0.5000
Ag2 Ag 0.3749 0.8749 0.2499
Ag3 Ag 0.6251 0.1251 0.7501
Ag4 Ag 0.8749 0.6251 0.5000
# magnetization	0.00	μB/atom
# space group	I4/mcm
# E_form	-0.2543	eV per atom